The following is a PBE-GGA calculation of a geometry-optimized Re2H4O9 structure, from the Alexandria database.

Geometry as POSCAR:
```
Re2H4O9
1.0
5.060 0.000 0.000
0.000 9.453 0.000
-2.298 0.000 8.477
Re H O
4 8 18
direct
0.073 0.000 0.067
0.321 0.500 0.379
0.679 0.000 0.621
0.927 0.500 0.933
0.237 0.166 0.665
0.238 0.835 0.665
0.478 0.271 0.217
0.478 0.729 0.217
0.522 0.229 0.783
0.522 0.771 0.783
0.762 0.335 0.335
0.763 0.666 0.335
0.120 0.500 0.135
0.124 0.356 0.406
0.124 0.644 0.406
0.148 0.499 0.813
0.277 0.151 0.105
0.278 0.848 0.105
0.408 0.000 0.453
0.429 0.145 0.724
0.429 0.856 0.724
0.571 0.356 0.276
0.571 0.645 0.276
0.592 0.500 0.547
0.722 0.348 0.895
0.723 0.651 0.895
0.852 0.999 0.187
0.876 0.144 0.594
0.876 0.856 0.594
0.880 0.000 0.865
```

Output
Magnetization: 0.00 μB per cell
Raw total energy: -6.861 eV/atom
Space group: No. 4

The following is a PBE-GGA calculation of a geometry-optimized ZnSnP2O structure, from the Alexandria database.

Geometry as POSCAR:
```
ZnSnP2O
1.0
5.197 0.000 0.000
0.000 5.197 0.000
0.000 0.000 3.874
Zn Sn P O
1 1 2 1
direct
0.000 0.000 0.000
0.500 0.500 0.500
0.000 0.500 0.500
0.500 0.000 0.500
0.500 0.500 0.000
```

Output
Polymorph energy (0 for the lowest one): 163.1 meV per atom
Magnetization: 0.00 μB per cell
E_form (uncorrected): 506 meV per atom
Raw total energy: -3.705 eV/atom
Space group: No. 123

The following is a PBE-GGA calculation of a geometry-optimized Nb6TcMo structure, from the Alexandria database.

Geometry as POSCAR:
```
Nb6TcMo
1.0
4.753 2.744 1.824
-4.753 2.744 1.824
0.000 -5.488 1.824
Nb Tc Mo
6 1 1
direct
0.250 0.250 0.748
0.250 0.748 0.250
0.252 0.750 0.750
0.748 0.250 0.250
0.750 0.252 0.750
0.750 0.750 0.252
0.500 0.500 0.500
0.000 0.000 0.000
```

Output
Polymorph energy (0 for the lowest one): 276.6 meV per atom
Magnetization: 0.00 μB per cell
Formation energy from the elements: 95.2 kJ/mol of formula units
Raw total energy: -10.079 eV/atom
Space group: No. 166

The following is a PBE-GGA calculation of a geometry-optimized SrTe2Rh structure, from the Alexandria database.

Geometry as POSCAR:
```
SrTe2Rh
1.0
5.382 0.000 0.000
0.000 4.122 0.000
-1.579 0.000 5.171
Sr Te Rh
1 2 1
direct
0.000 0.000 0.000
0.311 0.500 0.690
0.689 0.500 0.310
0.500 0.000 0.500
```

Output
Polymorph energy (0 for the lowest one): 45.3 meV per atom
Magnetization: 0.00 μB per cell
E_form (uncorrected): -739 meV per atom
Raw total energy: -4.568 eV/atom
Space group: No. 10